This record from the Alexandria database describes crystalline RbFe2F at its relaxed geometry. The functional is PBE with a Hubbard U.

Output
Its density is 2.888 g/cm³. The value obtained for the energy above the most stable polymorph in this dataset is 0 meV per atom. As for the density of states at the Fermi level: 2.4 states/eV/f.u. The calculation puts the spin magnetization at 8.19 μB/f.u.

Unit cell a=5.940 b=5.940 c=14.091 alpha=90.00 beta=90.00 gamma=90.00
Space group I4_1/amd (No. 141, origin choice 2)
Asymmetric unit:
Rb (0.000, 0.250, 0.375)
Fe (0.000, 0.000, 0.000)
F (0.000, 0.250, 0.875)